Entry 1:
A plane-wave DFT calculation with GGA-PBE was carried out for a geometry-optimized ThCu4Ge3 structure.

The structure in extended XYZ format:
```
8
Lattice="4.1807 0.0000 0.0000 0.0000 4.1807 0.0000 0.0000 0.0000 7.7233" Properties=species:S:1:pos:R:3 pbc="T T T"
Th 0.0000 0.0000 0.0000
Cu 0.0000 2.0903 2.5245
Cu 0.0000 2.0903 5.1988
Cu 2.0903 0.0000 2.5245
Cu 2.0903 0.0000 5.1988
Ge 0.0000 0.0000 3.8616
Ge 2.0903 2.0903 1.2469
Ge 2.0903 2.0903 6.4764
```

Fermi-level density of states: 0.439 states/eV per atom
Final energy: -39.914 eV per cell
SG: No. 123
Crystal system: tetragonal

Entry 2:
A plane-wave DFT calculation with GGA-PBE was carried out for a geometry-optimized CrAs2Rh structure.

The structure in extended XYZ format:
```
8
Lattice="7.7796 0.0000 0.0000 0.0000 3.0208 0.0000 -1.2588 0.0000 5.1879" Properties=species:S:1:pos:R:3 pbc="T T T"
Cr 0.0000 0.0000 0.0000
Cr 3.8898 1.5104 0.0000
As 1.6390 1.5104 1.2408
As 0.9920 0.0000 3.9471
As 5.5288 0.0000 1.2408
As 4.8818 1.5104 3.9471
Rh -0.6294 1.5104 2.5939
Rh 3.2604 0.0000 2.5939
```

Fermi-level density of states: 0.738 states/eV per atom
Final energy: -52.854 eV per cell
SG: No. 12
Crystal system: monoclinic

Entry 3:
A plane-wave DFT calculation with GGA-PBE was carried out for a geometry-optimized Ba2HN structure.

The structure in extended XYZ format:
```
12
Lattice="3.9938 0.0000 0.0000 -1.9969 3.4588 0.0000 0.0000 0.0000 21.2122" Properties=species:S:1:pos:R:3 pbc="T T T"
Ba 0.0000 0.0000 0.0000
Ba 0.0000 0.0000 4.0128
Ba 0.0000 2.3058 14.1415
Ba 0.0000 2.3058 18.1543
Ba 1.9969 1.1529 7.0707
Ba 1.9969 1.1529 11.0835
H 0.0000 0.0000 16.0933
H 0.0000 2.3058 9.0226
H 1.9969 1.1529 1.9519
N 0.0000 0.0000 12.5901
N 0.0000 2.3058 5.5194
N 1.9969 1.1529 19.6608
```

Final energy: -52.246 eV per cell
SG: No. 160
Crystal system: trigonal

Entry 4:
A plane-wave DFT calculation with GGA-PBE was carried out for a geometry-optimized CsGaBr4 structure.

The structure in extended XYZ format:
```
12
Lattice="10.7166 0.0000 0.0000 0.0000 6.7877 0.0000 0.0000 0.0000 7.4617" Properties=species:S:1:pos:R:3 pbc="T T T"
Cs 0.0000 1.4703 0.0000
Cs 5.3583 5.3174 3.7309
Ga 0.0000 5.5225 3.8895
Ga 5.3583 1.2652 0.1586
Br 0.0000 1.1124 3.8273
Br 0.0000 4.8262 1.6302
Br 1.8891 4.7705 5.0951
Br 3.4691 2.0172 1.3643
Br 5.3583 1.9615 5.3611
Br 5.3583 5.6753 0.0964
Br 7.2474 2.0172 1.3643
Br 8.8274 4.7705 5.0951
```

Fermi-level density of states: 0.000 states/eV per atom
Final energy: -35.930 eV per cell
SG: No. 31
Crystal system: orthorhombic
ΔE_f (raw): -713.3 kJ/mol of formula units

Entry 5:
A plane-wave DFT calculation with GGA-PBE was carried out for a geometry-optimized K2PuTl6 structure.

The structure in extended XYZ format:
```
9
Lattice="9.5213 0.0000 0.0000 -4.7606 8.2457 0.0000 0.0000 0.0000 3.5413" Properties=species:S:1:pos:R:3 pbc="T T T"
K 0.0000 5.4971 0.0000
K 4.7607 2.7486 0.0000
Pu 0.0000 0.0000 0.0000
Tl -1.5570 2.6968 1.7706
Tl -3.2037 5.5489 1.7706
Tl 3.1140 0.0000 1.7706
Tl 1.5570 2.6968 1.7706
Tl 6.4073 0.0000 1.7706
Tl 3.2037 5.5489 1.7706
```

Fermi-level density of states: 1.533 states/eV per atom
Final energy: -30.906 eV per cell
SG: No. 191
Crystal system: hexagonal

Entry 6:
A plane-wave DFT calculation with GGA-PBE was carried out for a geometry-optimized CsMnIn2Ge structure.

The structure in extended XYZ format:
```
5
Lattice="5.2359 0.0000 0.0000 0.0000 5.2359 0.0000 0.0000 0.0000 4.7560" Properties=species:S:1:pos:R:3 pbc="T T T"
Cs 0.0000 0.0000 0.0000
Mn 2.6179 2.6179 2.3780
In 0.0000 2.6179 2.3780
In 2.6179 0.0000 2.3780
Ge 2.6179 2.6179 0.0000
```

Fermi-level density of states: 0.142 states/eV per atom
Final energy: -19.729 eV per cell
SG: No. 123
Crystal system: tetragonal

- The lowest final energy belongs to which entry?
  CrAs2Rh